NpU | the Open Quantum Materials Database | PBE | optimized geometry; excess energy over the best structure of this formula in the dataset = 0 meV/atom
1.0
0.000 2.619 2.619
2.619 0.000 2.619
2.619 2.619 0.000
Np U
1 1
direct
0.000 0.000 0.000
0.500 0.500 0.500

=====

NpU | the Open Quantum Materials Database | PBE | optimized geometry; excess energy over the best structure of this formula in the dataset = 487 meV/atom
1.0
0.000 2.843 2.843
2.843 0.000 2.843
2.843 2.843 0.000
U Np
1 1
direct
0.250 0.250 0.250
0.000 0.000 0.000

=====

NpU | the Open Quantum Materials Database | PBE | optimized geometry; excess energy over the best structure of this formula in the dataset = 175 meV/atom
1.0
2.935 0.000 0.000
-1.468 2.542 0.000
0.000 0.000 5.551
Np U
1 1
direct
0.667 0.333 0.750
0.333 0.667 0.250

=====

ZrNpU | the Open Quantum Materials Database | PBE | optimized geometry; excess energy over the best structure of this formula in the dataset = 0 meV/atom
1.0
1.772 -2.447 3.491
-2.768 -1.622 3.320
-0.835 -4.531 0.300
Zr Np U
1 1 1
direct
0.750 0.750 0.750
0.250 0.250 0.250
0.000 0.000 0.000

=====

DFT (PBE) results for a relaxed Np2W crystal.

Structure (POSCAR):
```
Np2W
1.0
4.136 2.388 6.755
-4.136 2.388 6.755
0.000 -4.776 6.755
Np W
4 2
direct
0.875 0.375 0.375
0.375 0.375 0.875
0.375 0.875 0.375
0.375 0.375 0.375
0.250 0.250 0.250
0.500 0.500 0.500
```

=====

DFT (PBE) results for a relaxed YNpW crystal.

Structure (POSCAR):
```
YNpW
1.0
-3.329 -3.155 -0.604
-3.520 0.873 -2.871
-0.330 -2.275 -4.014
Y Np W
1 1 1
direct
0.750 0.750 0.750
0.000 0.000 0.000
0.250 0.250 0.250
```

=====

Uncorrected energy for the records above, in order: -11.878 -11.391 -11.703 -9.936 -10.265 -9.190 eV per atom
ΔH_f (0 K) for the records above, in order: 0.155 0.642 0.330 0.935 2.569 1.542 eV/atom